Density functional theory data (GGA+U) for a relaxed structure of MgFe2BiO6.

The structure in extended XYZ format:
```
10
Lattice="5.3650 0.0000 0.0002 2.6825 4.6461 0.0001 2.6823 1.5486 4.7134" Properties=species:S:1:pos:R:3 pbc="T T T"
O 3.7383 2.9905 3.5027
O 7.0877 3.4186 1.1730
O 4.2255 4.4287 1.1730
O 6.2705 1.7422 3.5026
O 6.0855 4.5593 3.5026
O 4.7816 1.4450 1.1730
Bi 2.6824 1.5487 0.4250
Mg 8.0474 4.6461 2.6993
Fe 2.6821 1.5486 4.3814
Fe 5.3650 3.0975 2.1074
```

Results
**Space-group type**: R3, No. 146
**VASP energy**: -6.182 eV/atom